Entry 1:
# UInS2N | Alexandria | PBE | optimized geometry
# Formation energy (no corrections)   -1052 meV/atom
# V   19.5 Å³ per atom
data_UInS2N
_cell_length_a 3.7776
_cell_length_b 3.7776
_cell_length_c 13.6401
_cell_angle_alpha 90.00
_cell_angle_beta 90.00
_cell_angle_gamma 90.00
_symmetry_space_group_name_H-M 'P 4/n m m'
_symmetry_Int_Tables_number 129
loop_
_symmetry_equiv_pos_as_xyz
'x,y,z'
'-x,-y,-z'
'-y+1/2,x,z'
'y+1/2,-x,-z'
'-x+1/2,-y+1/2,z'
'x+1/2,y+1/2,-z'
'y,-x+1/2,z'
'-y,x+1/2,-z'
'x+1/2,-y,-z'
'-x+1/2,y,z'
'-y,-x,-z'
'y,x,z'
'-x,y+1/2,-z'
'x,-y+1/2,z'
'y+1/2,x+1/2,-z'
'-y+1/2,-x+1/2,z'
loop_
_atom_site_label
_atom_site_type_symbol
_atom_site_fract_x
_atom_site_fract_y
_atom_site_fract_z
U1 U 0.2500 0.2500 0.0889
In1 In 0.2500 0.2500 0.6175
S1 S 0.2500 0.2500 0.3973
S2 S 0.2500 0.2500 0.8131
N1 N 0.2500 0.7500 0.0000

---

Entry 2:
# Zr2VH | Alexandria | PBE | optimized geometry
# V   15.4 Å³ per atom
# Distance to the lowest polymorph of the same formula   0.1125 eV per atom
data_Zr2VH
_cell_length_a 2.9048
_cell_length_b 2.9048
_cell_length_c 7.3012
_cell_angle_alpha 90.00
_cell_angle_beta 90.00
_cell_angle_gamma 90.00
_symmetry_space_group_name_H-M 'P 4/m m m'
_symmetry_Int_Tables_number 123
_symmetry_space_group_name_Hall '-P 4 2'
loop_
_atom_site_label
_atom_site_type_symbol
_atom_site_fract_x
_atom_site_fract_y
_atom_site_fract_z
Zr1 Zr 0.0000 0.0000 0.2060
V1 V 0.5000 0.5000 0.5000
H1 H 0.5000 0.5000 0.0000

---

Entry 3:
# RbBa4Sb3O | Alexandria | PBE | optimized geometry
# Formation energy (no corrections)   -1296 meV/atom
# V   38.4 Å³ per atom
data_RbBa4Sb3O
_cell_length_a 9.0731
_cell_length_b 9.0731
_cell_length_c 16.7758
_cell_angle_alpha 90.00
_cell_angle_beta 90.00
_cell_angle_gamma 90.00
_symmetry_space_group_name_H-M 'I 4/m c m'
_symmetry_Int_Tables_number 140
_symmetry_space_group_name_Hall '-I 4 2c'
loop_
_atom_site_label
_atom_site_type_symbol
_atom_site_fract_x
_atom_site_fract_y
_atom_site_fract_z
Rb1 Rb 0.0000 0.0000 0.0000
Ba1 Ba 0.1565 0.3435 0.1543
Sb1 Sb 0.0000 0.0000 0.2500
Sb2 Sb 0.1136 0.3864 0.5000
O1 O 0.0000 0.5000 0.2500

---

Entry 4:
# HfV3Ga | Alexandria | PBE | optimized geometry
# V   19.8 Å³ per atom
# Distance to the lowest polymorph of the same formula   0.6831 eV per atom
# Energy of formation from the pure elements   36.669 kcal/mol of atoms
data_HfV3Ga
_cell_length_a 4.6238
_cell_length_b 4.6238
_cell_length_c 4.6238
_cell_angle_alpha 90.00
_cell_angle_beta 90.00
_cell_angle_gamma 90.00
_symmetry_space_group_name_H-M 'P m -3 m'
_symmetry_Int_Tables_number 221
_symmetry_space_group_name_Hall '-P 4 2 3'
loop_
_atom_site_label
_atom_site_type_symbol
_atom_site_fract_x
_atom_site_fract_y
_atom_site_fract_z
Hf1 Hf 0.0000 0.0000 0.0000
V1 V 0.0000 0.0000 0.5000
Ga1 Ga 0.5000 0.5000 0.5000

---

Entry 5:
# NaCa2Tl8 | Alexandria | PBE | optimized geometry
# V   29.4 Å³ per atom
# Energy of formation from the pure elements   -3.812 kcal/mol of atoms
data_NaCa2Tl8
_cell_length_a 17.3937
_cell_length_b 4.9342
_cell_length_c 7.9306
_cell_angle_alpha 90.00
_cell_angle_beta 108.05
_cell_angle_gamma 90.00
_symmetry_space_group_name_H-M 'C 1 2/m 1'
_symmetry_Int_Tables_number 12
loop_
_symmetry_equiv_pos_as_xyz
'x,y,z'
'-x,-y,-z'
'-x,y,-z'
'x,-y,z'
'x+1/2,y+1/2,z'
'-x+1/2,-y+1/2,-z'
'-x+1/2,y+1/2,-z'
'x+1/2,-y+1/2,z'
loop_
_atom_site_label
_atom_site_type_symbol
_atom_site_fract_x
_atom_site_fract_y
_atom_site_fract_z
Na1 Na 0.0000 0.0000 0.0000
Ca1 Ca 0.2225 0.5000 0.6566
Tl1 Tl 0.0391 0.5000 0.7333
Tl2 Tl 0.0915 0.0000 0.4635
Tl3 Tl 0.1411 0.5000 0.1907
Tl4 Tl 0.1772 0.0000 0.9134

---

Entry 6:
# InFeC3 | Alexandria | PBE | optimized geometry
# V   15.2 Å³ per atom
# Distance to the lowest polymorph of the same formula   1.7592 eV per atom
# Energy of formation from the pure elements   83.881 kcal/mol of atoms
data_InFeC3
_cell_length_a 4.2379
_cell_length_b 4.2379
_cell_length_c 4.2379
_cell_angle_alpha 90.00
_cell_angle_beta 90.00
_cell_angle_gamma 90.00
_symmetry_space_group_name_H-M 'P m -3 m'
_symmetry_Int_Tables_number 221
_symmetry_space_group_name_Hall '-P 4 2 3'
loop_
_atom_site_label
_atom_site_type_symbol
_atom_site_fract_x
_atom_site_fract_y
_atom_site_fract_z
In1 In 0.0000 0.0000 0.0000
Fe1 Fe 0.5000 0.5000 0.5000
C1 C 0.0000 0.0000 0.5000